No. 1
# CaMn2P

A relaxed structure of CaMn2P (PBE, Alexandria via LeMat-Bulk).

The calculated total energy comes out at -6.3539 eV per atom. Its density of states at the Fermi level is 4.40 states/eV/cell.

The structure in CIF format:
```
data_CaMn2P
_symmetry_space_group_name_H-M 'P 1'
_symmetry_Int_Tables_number 1
_cell_length_a 4.526
_cell_length_b 3.424
_cell_length_c 5.250
_cell_angle_alpha 90.00
_cell_angle_beta 109.75
_cell_angle_gamma 90.00
loop_
_symmetry_equiv_pos_as_xyz
'x,y,z'
loop_
_atom_site_label
_atom_site_type_symbol
_atom_site_fract_x
_atom_site_fract_y
_atom_site_fract_z
Ca1 Ca 0.000 0.000 0.000
Mn1 Mn 0.243 0.500 0.583
Mn2 Mn 0.757 0.500 0.417
P1 P 0.500 0.000 0.500
```

=====

No. 2
# NaAl5Ag2

A relaxed structure of NaAl5Ag2 (PBE, Alexandria via LeMat-Bulk).

The calculated total energy comes out at -3.2135 eV per atom. Its density of states at the Fermi level is 3.74 states/eV/cell. As for the energy above the most stable polymorph in this dataset: 0.0165 eV/atom.

The structure in CIF format:
```
data_NaAl5Ag2
_symmetry_space_group_name_H-M 'P 1'
_symmetry_Int_Tables_number 1
_cell_length_a 3.185
_cell_length_b 8.659
_cell_length_c 10.608
_cell_angle_alpha 90.00
_cell_angle_beta 90.00
_cell_angle_gamma 90.00
loop_
_symmetry_equiv_pos_as_xyz
'x,y,z'
loop_
_atom_site_label
_atom_site_type_symbol
_atom_site_fract_x
_atom_site_fract_y
_atom_site_fract_z
Na1 Na 0.000 0.000 0.000
Na2 Na 0.500 0.500 0.500
Al1 Al 0.000 0.219 0.366
Al2 Al 0.000 0.219 0.634
Al3 Al 0.000 0.500 0.000
Al4 Al 0.000 0.781 0.366
Al5 Al 0.000 0.781 0.634
Al6 Al 0.500 0.000 0.500
Al7 Al 0.500 0.281 0.134
Al8 Al 0.500 0.281 0.866
Al9 Al 0.500 0.719 0.134
Al10 Al 0.500 0.719 0.866
Ag1 Ag 0.000 0.500 0.253
Ag2 Ag 0.000 0.500 0.747
Ag3 Ag 0.500 0.000 0.247
Ag4 Ag 0.500 0.000 0.753
```